1.
First-principles (PBE) data for a relaxed structure of TmGe6Rh6, as listed in Alexandria via LeMat-Bulk.

```
TmGe6Rh6
1.0
5.039 0.000 2.200
2.148 6.134 1.951
0.037 0.163 6.784
Tm Ge Rh
1 6 6
Cartesian
0.000 0.000 0.000 Tm
3.129 4.215 6.574 Ge
4.095 2.083 4.361 Ge
0.764 2.217 5.121 Ge
1.422 4.080 3.614 Ge
2.054 1.028 2.167 Ge
5.171 5.269 8.768 Ge
1.074 3.067 0.975 Rh
3.593 3.067 2.076 Rh
0.019 0.081 3.392 Rh
2.538 0.081 4.492 Rh
4.126 4.602 4.291 Rh
3.098 1.695 6.644 Rh
```

Properties
Energy in eV per atom: -6.445
Magnetization in Bohr magnetons per cell: 0.00
ΔH_f (0 K) in meV/atom: -577.4

=====

2.
First-principles (PBE) data for a relaxed structure of TmGe3Rh, as listed in Alexandria via LeMat-Bulk.

```
TmGe3Rh
1.0
-3.954 -3.760 2.035
1.774 -3.821 -3.614
3.933 -1.966 4.009
Tm Ge Rh
2 6 2
Cartesian
1.664 -4.231 2.483 Tm
-2.823 -3.959 2.601 Tm
-0.113 -2.759 0.532 Ge
3.459 -6.964 1.704 Ge
-1.147 -6.435 2.067 Ge
-0.468 -4.881 4.254 Ge
0.717 -7.367 3.966 Ge
1.389 -5.930 -0.405 Ge
3.537 -5.026 0.255 Rh
-0.835 -5.000 0.141 Rh
```

Properties
Energy in eV per atom: -5.695
Magnetization in Bohr magnetons per cell: 0.00
ΔH_f (0 K) in meV/atom: -560.5

=====

3.
First-principles (PBE) data for a relaxed structure of Tm2Ge5Rh3, as listed in Alexandria via LeMat-Bulk.

```
Tm2Ge5Rh3
1.0
8.313 -0.133 -0.019
-0.510 8.299 -0.019
1.901 1.989 5.159
Tm Ge Rh
4 10 6
Cartesian
8.392 6.290 3.912 Tm
4.751 2.481 3.790 Tm
1.312 3.864 1.210 Tm
4.953 7.674 1.332 Tm
2.092 3.840 4.280 Ge
6.913 8.885 3.421 Ge
7.612 6.315 0.842 Ge
2.791 1.270 1.700 Ge
2.732 8.055 3.851 Ge
6.972 2.100 1.271 Ge
5.448 5.459 3.851 Ge
4.256 4.696 1.271 Ge
7.788 3.222 3.851 Ge
1.915 6.932 1.271 Ge
3.076 5.745 3.215 Rh
5.055 7.815 4.486 Rh
6.627 4.410 1.907 Rh
4.649 2.339 0.635 Rh
0.931 9.775 3.851 Rh
8.773 0.379 1.271 Rh
```

Properties
Distance to the lowest polymorph of the same formula in meV per atom: 0
Energy in eV per atom: -6.162
Magnetization in Bohr magnetons per cell: 0.00
ΔH_f (0 K) in meV/atom: -753.9

=====

4.
First-principles (PBE) data for a relaxed structure of TmGeRh, as listed in Alexandria via LeMat-Bulk.

```
TmGeRh
1.0
3.339 0.000 0.000
0.000 4.394 0.000
0.000 -2.197 3.805
Ge Tm Rh
1 1 1
Cartesian
0.556 2.197 1.268 Ge
2.226 0.000 2.537 Tm
0.556 0.000 0.000 Rh
```

Properties
Energy in eV per atom: -6.375
Magnetization in Bohr magnetons per cell: 0.00
ΔH_f (0 K) in meV/atom: -894.6

=====

5.
First-principles (PBE) data for a relaxed structure of TmGe3Rh3, as listed in Alexandria via LeMat-Bulk.

```
TmGe3Rh3
1.0
6.893 0.000 0.000
3.446 5.969 0.000
3.446 1.990 6.397
Tm Ge Rh
2 6 6
Cartesian
3.446 1.990 0.034 Tm
10.339 5.969 6.362 Tm
4.536 4.419 1.681 Ge
7.691 1.718 1.681 Ge
8.452 5.801 1.681 Ge
5.334 2.158 4.716 Ge
6.095 6.241 4.716 Ge
9.250 3.540 4.716 Ge
8.387 5.816 4.184 Rh
7.735 1.767 4.184 Rh
4.555 4.356 4.184 Rh
9.230 3.603 2.213 Rh
6.050 6.192 2.213 Rh
5.398 2.144 2.213 Rh
```

Properties
Distance to the lowest polymorph of the same formula in meV per atom: 0
Energy in eV per atom: -6.311
Magnetization in Bohr magnetons per cell: 0.00
ΔH_f (0 K) in meV/atom: -542.3

=====

6.
First-principles (PBE) data for a relaxed structure of TmGe3Rh3, as listed in Alexandria via LeMat-Bulk.

```
TmGe3Rh3
1.0
6.673 0.000 0.000
0.000 6.673 0.000
0.000 0.000 6.673
Ge Tm Rh
6 2 6
Cartesian
0.000 1.668 3.337 Ge
0.000 5.005 3.337 Ge
3.337 0.000 5.005 Ge
5.005 3.337 0.000 Ge
3.337 0.000 1.668 Ge
1.668 3.337 0.000 Ge
3.337 3.337 3.337 Tm
0.000 0.000 0.000 Tm
1.668 0.000 3.337 Rh
0.000 3.337 1.668 Rh
3.337 5.005 0.000 Rh
5.005 0.000 3.337 Rh
0.000 3.337 5.005 Rh
3.337 1.668 0.000 Rh
```

Properties
Distance to the lowest polymorph of the same formula in meV per atom: 359
Energy in eV per atom: -5.952
Magnetization in Bohr magnetons per cell: 0.00
ΔH_f (0 K) in meV/atom: -183.7

=====

7.
First-principles (PBE) data for a relaxed structure of TmGe3Rh5, as listed in Alexandria via LeMat-Bulk.

```
TmGe3Rh5
1.0
-0.999 -0.694 -3.655
-1.203 -5.690 3.439
-11.664 3.940 2.440
Tm Ge Rh
2 6 10
Cartesian
-10.550 -2.010 1.235 Tm
-3.316 -0.434 0.989 Tm
-12.471 -0.791 3.559 Ge
-4.693 -3.894 -0.008 Ge
-7.601 -2.436 2.540 Ge
-6.265 -0.008 -0.316 Ge
-9.172 1.450 2.232 Ge
-1.395 -1.653 -1.335 Ge
-6.508 -2.304 0.187 Rh
-11.490 1.256 2.902 Rh
-5.832 1.970 1.220 Rh
0.000 0.000 0.000 Rh
-3.260 -4.949 1.831 Rh
-10.605 2.505 0.393 Rh
-8.179 1.685 -0.114 Rh
-2.376 -3.700 -0.678 Rh
-7.357 -0.140 2.038 Rh
-5.687 -4.129 2.338 Rh
```

Properties
Energy in eV per atom: -6.636
Magnetization in Bohr magnetons per cell: 0.00
ΔH_f (0 K) in meV/atom: -515.4

=====

8.
First-principles (PBE) data for a relaxed structure of Tm3Ge3Rh2, as listed in Alexandria via LeMat-Bulk.

```
Tm3Ge3Rh2
1.0
-1.439 -5.374 -0.400
3.243 -1.410 7.283
-12.369 2.862 6.062
Tm Ge Rh
12 12 8
Cartesian
-3.470 -0.186 5.642 Tm
-8.343 -1.636 3.766 Tm
-10.484 -2.951 8.964 Tm
1.166 -3.070 7.519 Tm
-7.095 -3.735 7.303 Tm
-2.222 -2.286 9.180 Tm
-0.082 -0.970 3.981 Tm
-11.732 -0.852 5.427 Tm
-2.996 -3.128 3.527 Tm
-8.856 1.161 5.870 Tm
-7.569 -0.793 9.419 Tm
-1.709 -5.083 7.076 Tm
-2.710 -0.150 2.704 Ge
-9.093 -1.632 6.707 Ge
-7.855 -3.772 10.242 Ge
-1.473 -2.289 6.239 Ge
-5.664 -2.437 4.713 Ge
-6.156 0.590 4.693 Ge
-10.172 -0.264 10.816 Ge
0.861 -5.731 5.669 Ge
-4.901 -1.484 8.232 Ge
-4.409 -4.512 8.253 Ge
-0.393 -3.657 2.130 Ge
-11.427 1.810 7.276 Ge
-5.985 -3.699 2.625 Rh
-6.583 -0.938 6.574 Rh
-8.313 0.641 12.151 Rh
-0.250 -3.847 4.542 Rh
-4.580 -0.222 10.321 Rh
-3.983 -2.983 6.372 Rh
-2.252 -4.563 0.795 Rh
-10.315 -0.075 8.403 Rh
```

Properties
Distance to the lowest polymorph of the same formula in meV per atom: 50
Energy in eV per atom: -6.159
Magnetization in Bohr magnetons per cell: 0.00
ΔH_f (0 K) in meV/atom: -913.3

=====

9.
First-principles (PBE) data for a relaxed structure of TmGeRh, as listed in Alexandria via LeMat-Bulk.

```
TmGeRh
1.0
-6.268 2.684 1.890
3.393 -3.692 4.992
3.875 5.014 -1.762
Tm Ge Rh
4 4 4
Cartesian
-1.676 1.546 2.613 Tm
3.395 2.711 0.787 Tm
0.261 4.053 1.732 Tm
0.020 -0.300 5.108 Tm
4.497 -0.636 3.843 Ge
-4.686 1.640 2.398 Ge
1.333 1.453 2.827 Ge
1.811 -2.648 4.484 Ge
2.238 -0.845 2.869 Rh
0.677 1.253 0.467 Rh
0.322 2.752 4.653 Rh
3.592 1.662 3.802 Rh
```

Properties
Energy in eV per atom: -6.133
Magnetization in Bohr magnetons per cell: 0.00
ΔH_f (0 K) in meV/atom: -652.9

=====

10.
First-principles (PBE) data for a relaxed structure of Tm5Ge10Rh4, as listed in Alexandria via LeMat-Bulk.

```
Tm5Ge10Rh4
1.0
-7.164 -10.734 1.457
8.870 -6.816 -6.597
2.043 -0.869 3.645
Tm Ge Rh
10 20 8
Cartesian
5.650 -5.829 -2.058 Tm
4.494 -13.060 -3.134 Tm
-0.745 -5.358 1.639 Tm
-1.900 -12.589 0.563 Tm
6.012 -9.557 -3.150 Tm
1.088 -13.893 -1.423 Tm
2.661 -4.525 -0.072 Tm
-2.263 -8.861 1.655 Tm
0.853 -8.775 -2.570 Tm
0.000 0.000 0.000 Tm
2.961 -7.501 -0.949 Ge
0.789 -10.917 -0.546 Ge
0.457 -8.185 0.291 Ge
3.293 -10.233 -1.787 Ge
1.368 -16.873 -2.291 Ge
-4.985 -9.515 3.025 Ge
8.734 -8.903 -4.520 Ge
2.382 -1.545 0.795 Ge
0.242 -5.665 -1.486 Ge
1.465 -11.884 -3.654 Ge
-2.023 -9.816 -1.206 Ge
3.730 -7.733 -3.934 Ge
1.699 -14.292 -4.359 Ge
-4.223 -10.354 -0.101 Ge
5.930 -7.196 -5.039 Ge
0.007 -3.257 -0.781 Ge
5.175 -11.012 -5.526 Ge
-1.659 -13.880 -2.379 Ge
-3.468 -6.537 0.386 Ge
3.366 -3.669 -2.761 Ge
6.922 -9.316 -6.101 Rh
-5.215 -8.234 0.961 Rh
2.034 -1.902 -1.594 Rh
-0.328 -15.648 -3.546 Rh
3.186 -10.228 -4.225 Rh
-0.725 -11.559 -2.349 Rh
2.432 -5.990 -2.791 Rh
-1.480 -7.321 -0.916 Rh
```

Properties
Energy in eV per atom: -5.943
Magnetization in Bohr magnetons per cell: 0.00
ΔH_f (0 K) in meV/atom: -788.5

=====

11.
First-principles (PBE) data for a relaxed structure of Tm6GeRh5, as listed in Alexandria via LeMat-Bulk.

```
Tm6GeRh5
1.0
4.622 -0.005 -1.296
-3.469 6.748 -3.499
-0.169 -0.977 8.296
Ge Tm Rh
1 6 5
Cartesian
0.000 0.000 0.000 Ge
0.806 0.155 2.878 Tm
1.293 3.001 4.607 Tm
2.566 1.481 0.252 Tm
-1.581 4.285 3.249 Tm
-0.308 2.764 -1.106 Tm
0.179 5.611 0.623 Tm
1.589 0.315 5.671 Rh
-1.268 1.596 4.367 Rh
0.492 2.883 1.750 Rh
-2.370 4.175 0.430 Rh
-0.604 5.451 -2.170 Rh
```

Properties
Energy in eV per atom: -6.583
Magnetization in Bohr magnetons per cell: 0.00
ΔH_f (0 K) in meV/atom: -899.8

=====

12.
First-principles (PBE) data for a relaxed structure of TmGe2Rh, as listed in Alexandria via LeMat-Bulk.

```
TmGe2Rh
1.0
4.110 0.000 -0.955
-0.981 7.756 -4.221
0.018 0.027 9.397
Tm Ge Rh
4 8 4
Cartesian
2.211 5.475 0.197 Tm
1.795 2.051 -1.593 Tm
1.333 5.705 -3.582 Tm
0.935 2.308 4.025 Tm
3.394 3.306 5.287 Ge
2.540 2.744 1.610 Ge
2.838 0.386 2.893 Ge
0.607 5.039 2.611 Ge
0.248 0.612 1.066 Ge
-0.248 4.477 -1.065 Ge
2.899 7.172 3.155 Ge
0.309 7.397 1.329 Ge
2.932 4.710 3.296 Rh
0.215 3.073 0.926 Rh
-0.276 6.954 -1.186 Rh
3.422 0.829 5.408 Rh
```

Properties
Energy in eV per atom: -6.078
Magnetization in Bohr magnetons per cell: 0.00
ΔH_f (0 K) in meV/atom: -813.5

=====

13.
First-principles (PBE) data for a relaxed structure of TmGe7Rh3, as listed in Alexandria via LeMat-Bulk.

```
TmGe7Rh3
1.0
6.973 0.000 3.755
2.475 6.519 3.755
0.037 0.026 8.282
Tm Ge Rh
2 14 6
Cartesian
4.742 3.272 7.896 Tm
0.000 0.000 0.000 Tm
4.849 0.497 6.156 Ge
2.643 5.561 6.849 Ge
7.602 4.357 9.073 Ge
7.418 4.230 6.334 Ge
5.031 5.434 5.495 Ge
5.578 2.775 4.802 Ge
4.636 6.047 9.636 Ge
6.842 0.984 8.943 Ge
1.883 2.187 6.719 Ge
2.067 2.314 9.459 Ge
4.453 1.110 10.297 Ge
3.906 3.769 10.990 Ge
7.114 4.908 11.844 Ge
2.371 1.636 3.948 Ge
3.201 0.472 8.089 Rh
2.369 4.908 9.289 Rh
6.323 2.825 10.644 Rh
6.283 6.072 7.703 Rh
7.116 1.636 6.503 Rh
3.162 3.719 5.148 Rh
```

Properties
Energy in eV per atom: -5.861
Magnetization in Bohr magnetons per cell: 0.00
ΔH_f (0 K) in meV/atom: -511.7

=====

14.
First-principles (PBE) data for a relaxed structure of TmGe6Rh12, as listed in Alexandria via LeMat-Bulk.

```
TmGe6Rh12
1.0
-3.329 4.782 4.084
-4.679 -1.887 -5.018
0.923 -5.756 4.081
Tm Ge Rh
1 6 12
Cartesian
0.000 0.000 0.000 Tm
-3.267 1.380 2.599 Ge
-1.394 -3.262 2.597 Ge
-3.862 -1.558 -1.411 Ge
-5.692 0.402 0.550 Ge
-3.819 -4.240 0.548 Ge
-3.224 -1.302 4.558 Ge
-3.041 1.049 4.957 Rh
-4.914 -0.491 2.817 Rh
-3.878 -3.059 2.817 Rh
-1.843 -0.744 2.547 Rh
-3.208 0.198 0.330 Rh
-2.172 -2.369 0.330 Rh
-1.962 -5.347 1.572 Rh
-5.625 0.008 -1.808 Rh
-4.045 -3.909 -1.810 Rh
-5.124 2.487 1.575 Rh
-1.460 -2.868 4.955 Rh
-5.243 -2.116 0.600 Rh
```

Properties
Energy in eV per atom: -6.745
Magnetization in Bohr magnetons per cell: 0.00
ΔH_f (0 K) in meV/atom: -408.5

=====

15.
First-principles (PBE) data for a relaxed structure of TmGe2Rh, as listed in Alexandria via LeMat-Bulk.

```
TmGe2Rh
1.0
4.200 0.000 0.000
2.100 3.637 0.000
2.100 1.212 4.806
Ge Tm Rh
2 1 1
Cartesian
6.300 3.637 3.204 Ge
2.100 1.212 1.603 Ge
0.000 0.000 0.000 Tm
4.200 2.425 2.403 Rh
```

Properties
Energy in eV per atom: -6.003
Magnetization in Bohr magnetons per cell: 0.00
ΔH_f (0 K) in meV/atom: -738.2

=====

16.
First-principles (PBE) data for a relaxed structure of Tm5Ge5Rh2, as listed in Alexandria via LeMat-Bulk.

```
Tm5Ge5Rh2
1.0
-2.195 3.246 -1.561
-7.510 -1.978 0.748
-0.706 5.271 6.252
Tm Ge Rh
5 5 2
Cartesian
-4.108 1.647 3.500 Tm
-7.284 5.782 5.166 Tm
-8.148 1.004 2.146 Tm
-2.262 5.535 3.293 Tm
-3.127 0.757 0.273 Tm
-3.503 3.686 1.193 Ge
-4.830 6.752 3.733 Ge
-5.581 -0.213 1.706 Ge
-6.908 2.853 4.246 Ge
0.000 0.000 0.000 Ge
-4.836 4.317 4.378 Rh
-5.574 2.222 1.061 Rh
```

Properties
Energy in eV per atom: -5.835
Magnetization in Bohr magnetons per cell: 0.00
ΔH_f (0 K) in meV/atom: -822.7

=====

17.
First-principles (PBE) data for a relaxed structure of Tm3Ge2Rh6, as listed in Alexandria via LeMat-Bulk.

```
Tm3Ge2Rh6
1.0
-3.208 4.221 5.999
-4.446 0.930 -6.593
0.213 -7.748 2.004
Tm Ge Rh
6 4 12
Cartesian
-2.132 -2.511 5.697 Tm
-0.863 -1.016 2.306 Tm
-1.220 -1.965 -1.322 Tm
-3.013 -4.854 -3.267 Tm
-2.206 1.484 -0.171 Tm
-5.448 3.667 -0.423 Tm
-2.223 0.465 -3.297 Ge
-1.604 2.111 3.000 Ge
0.106 -3.874 1.002 Ge
-3.720 -1.299 0.705 Ge
-3.353 -2.024 3.192 Rh
-2.032 0.105 4.626 Rh
-0.963 -3.633 3.378 Rh
-4.087 -0.573 -1.782 Rh
-2.844 -2.054 -3.637 Rh
-3.662 0.558 2.548 Rh
-3.779 -3.156 -1.138 Rh
-1.389 -4.764 -0.952 Rh
-4.020 2.062 -2.263 Rh
-4.955 0.960 0.236 Rh
-2.485 -3.558 1.174 Rh
-3.634 3.089 1.669 Rh
```

Properties
Energy in eV per atom: -6.796
Magnetization in Bohr magnetons per cell: 0.00
ΔH_f (0 K) in meV/atom: -727.1